LiCo2Ag: optimized geometry, PBE.

Values from the calculation:
* size of the total moment: 0.836 μB/atom
* formation energy: 1.23 eV/f.u.

abc: 4.8758 4.8758 2.5818
angles: 90.00 90.00 119.82
Closest atoms and distances in Å follow each position.
Fractional positions:
Co: 0.0000 0.0000 0.0000  4 Co 2.44-2.58
Co: 0.5000 0.5000 0.0000  4 Co 2.44-2.58
Li: 0.5000 0.0000 0.5000  2 Ag 2.44, 2 Li 2.58
Ag: 0.0000 0.5000 0.5000  2 Li 2.44, 2 Ag 2.58